[1]
VASP calculation (meta-GGA SCAN) on a crystal of Y3Ge13Rh4 relaxed with PBEsol.

* calculated volume: 351.4 Å³/f.u.
* electronic total energy: -23.98 eV per atom
* spin magnetization: 0.00 μB/f.u.
* formation energy: -0.647 eV/atom
* D(E_F): 0.293 states/eV per atom

Unit cell a=8.891 b=8.891 c=8.891 alpha=90.00 beta=90.00 gamma=90.00
Fractional positions:
1 Y 0.000 0.250 0.500
2 Y 0.000 0.750 0.500
3 Y 0.250 0.500 0.000
4 Y 0.500 0.000 0.250
5 Y 0.500 0.000 0.750
6 Y 0.750 0.500 0.000
7 Ge 0.000 0.000 0.000
8 Ge 0.000 0.309 0.147
9 Ge 0.000 0.309 0.853
10 Ge 0.000 0.691 0.147
11 Ge 0.000 0.691 0.853
12 Ge 0.147 0.000 0.309
13 Ge 0.147 0.000 0.691
14 Ge 0.191 0.500 0.353
15 Ge 0.191 0.500 0.647
16 Ge 0.309 0.147 0.000
17 Ge 0.309 0.853 0.000
18 Ge 0.353 0.191 0.500
19 Ge 0.353 0.809 0.500
20 Ge 0.500 0.353 0.191
21 Ge 0.500 0.353 0.809
22 Ge 0.500 0.500 0.500
23 Ge 0.500 0.647 0.191
24 Ge 0.500 0.647 0.809
25 Ge 0.647 0.191 0.500
26 Ge 0.647 0.809 0.500
27 Ge 0.691 0.147 0.000
28 Ge 0.691 0.853 0.000
29 Ge 0.809 0.500 0.353
30 Ge 0.809 0.500 0.647
31 Ge 0.853 0.000 0.309
32 Ge 0.853 0.000 0.691
33 Rh 0.250 0.250 0.250
34 Rh 0.250 0.250 0.750
35 Rh 0.250 0.750 0.250
36 Rh 0.250 0.750 0.750
37 Rh 0.750 0.250 0.250
38 Rh 0.750 0.250 0.750
39 Rh 0.750 0.750 0.250
40 Rh 0.750 0.750 0.750


[2]
VASP calculation (meta-GGA SCAN) on a crystal of GeWF3 relaxed with PBEsol.

* polymorph energy (0 for the lowest one): 587 meV/atom
* calculated volume: 80.3 Å³/f.u.
* electronic total energy: -20.03 eV per atom
* spin magnetization: 5.07 μB/f.u.
* D(E_F): 0.915 states/eV per atom
* ΔE_f (raw): -0.15 eV/atom

Unit cell a=4.313 b=4.313 c=4.313 alpha=90.00 beta=90.00 gamma=90.00
Fractional positions:
1 Ge 0.000 0.000 0.000
2 W 0.500 0.500 0.500
3 F 0.000 0.000 0.500
4 F 0.000 0.500 0.000
5 F 0.500 0.000 0.000


[3]
VASP calculation (meta-GGA SCAN) on a crystal of TlFe2W relaxed with PBEsol.

* calculated volume: 55.4 Å³/f.u.
* electronic total energy: -43.93 eV per atom
* spin magnetization: 3.33 μB/f.u.
* formation energy: 0.649 eV/atom
* D(E_F): 0.782 states/eV per atom

Unit cell a=4.279 b=4.279 c=4.279 alpha=60.00 beta=60.00 gamma=60.00
Fractional positions:
1 Tl 0.000 0.000 0.000
2 Fe 0.250 0.250 0.250
3 Fe 0.750 0.750 0.750
4 W 0.500 0.500 0.500


[4]
VASP calculation (meta-GGA SCAN) on a crystal of FePb3Se relaxed with PBEsol.

* calculated volume: 123.5 Å³/f.u.
* electronic total energy: -53.06 eV per atom
* spin magnetization: 0.00 μB/f.u.
* ΔE_f (raw): 0.05 eV/atom

Unit cell a=4.980 b=4.980 c=4.980 alpha=90.00 beta=90.00 gamma=90.00
Fractional positions:
1 Fe 0.000 0.000 0.000
2 Pb 0.000 0.000 0.500
3 Pb 0.000 0.500 0.000
4 Pb 0.500 0.000 0.000
5 Se 0.500 0.500 0.500